# 1
This record from the Alexandria database describes a relaxed structure of AcAl12Ag6. The functional is PBE-GGA.

Output
The calculation puts the formation energy at -16 meV/atom. As for the space group: R-3m. The value obtained for the magnetic moment is 0.0000 μB per atom. The calculation puts the calculated total energy at -3.496 eV per atom.

```
AcAl12Ag6
1.0
7.390 0.102 0.143
-1.733 7.185 0.143
-1.733 -2.233 6.831
Ac Al Ag
1 12 6
Direct
0.000 0.000 0.000
0.891 0.109 0.500
0.858 0.611 0.611
0.611 0.611 0.858
0.389 0.142 0.389
0.389 0.389 0.142
0.142 0.389 0.389
0.109 0.500 0.891
0.500 0.891 0.109
0.109 0.891 0.500
0.891 0.500 0.109
0.500 0.109 0.891
0.611 0.858 0.611
0.719 0.292 0.292
0.292 0.292 0.719
0.292 0.719 0.292
0.708 0.708 0.281
0.281 0.708 0.708
0.708 0.281 0.708
```

# 2
This record from the Alexandria database describes a relaxed structure of HoAgIr. The functional is PBE-GGA.

Output
The calculation puts the formation energy at -289 meV/atom. As for the energy above the most stable polymorph in this dataset: 103 meV/atom. As for the space group: I4mm. The value obtained for the magnetic moment is 0.0000 μB per atom. The calculation puts the calculated total energy at -5.719 eV per atom.

```
HoAgIr
1.0
-2.436 2.040 -1.593
-2.350 -0.826 2.535
3.816 3.052 2.040
Ir Ho Ag
1 1 1
Direct
0.287 0.287 0.573
0.939 0.939 0.879
0.624 0.624 0.248
```

# 3
This record from the Alexandria database describes a relaxed structure of ScBe2As. The functional is PBE-GGA.

Output
The calculation puts the formation energy at -181 meV/atom. As for the space group: Pmm2. The value obtained for the magnetic moment is 0.0000 μB per atom. The calculation puts the calculated total energy at -4.789 eV per atom.

```
ScBe2As
1.0
3.706 0.000 0.000
0.000 3.558 -0.005
0.000 0.011 4.626
Sc Be As
1 2 1
Direct
0.000 0.500 0.500
0.000 0.999 0.014
0.500 0.001 0.247
0.500 0.000 0.738
```

# 4
This record from the Alexandria database describes a relaxed structure of PuZrSb3. The functional is PBE-GGA.

Output
As for the space group: Pbcm. The value obtained for the magnetic moment is 1.1004 μB per atom. The calculation puts the calculated total energy at -7.584 eV per atom. The formation energy without anion corrections is -2.67 eV/f.u.

```
PuZrSb3
1.0
6.420 0.000 0.000
0.000 6.203 0.000
0.000 0.000 13.286
Pu Zr Sb
4 4 12
Direct
0.750 0.491 0.679
0.250 0.509 0.321
0.750 0.991 0.321
0.250 0.009 0.679
0.500 0.250 0.094
0.000 0.750 0.906
0.500 0.750 0.906
0.000 0.250 0.094
0.000 0.250 0.497
0.500 0.750 0.503
0.000 0.750 0.503
0.500 0.250 0.497
0.250 0.143 0.915
0.750 0.857 0.085
0.250 0.643 0.085
0.750 0.357 0.915
0.250 0.504 0.751
0.750 0.496 0.249
0.250 0.004 0.249
0.750 0.996 0.751
```